Compound: TbPm4Y3
Source: the Alexandria database
Functional: PBE
Structure: optimized geometry

Unit cell a=11.559 b=7.350 c=6.345 alpha=90.00 beta=90.00 gamma=90.00
Positions (direct):
Tb1 0.000 0.124 0.000
Tb2 0.500 0.876 0.500
Pm1 0.000 0.374 0.503
Pm2 0.000 0.626 0.003
Pm3 0.250 0.374 0.834
Pm4 0.250 0.626 0.334
Pm5 0.500 0.374 0.503
Pm6 0.500 0.626 0.003
Pm7 0.750 0.374 0.834
Pm8 0.750 0.626 0.334
Y1 0.000 0.877 0.500
Y2 0.250 0.123 0.335
Y3 0.250 0.877 0.835
Y4 0.500 0.123 0.000
Y5 0.750 0.123 0.335
Y6 0.750 0.877 0.835

Values from the calculation:
The formation energy is 0.021 eV/atom. The value obtained for the density of states at the Fermi level is 30.0 states/eV per cell. As for the space group: Pmn2_1 (31).


Compound: Np6PSe5
Source: the Alexandria database
Functional: PBE
Structure: optimized geometry

Unit cell a=7.075 b=7.075 c=7.075 alpha=99.59 beta=99.59 gamma=120.02
Positions (direct):
Np1 0.081 0.404 0.743
Np2 0.241 0.241 0.254
Np3 0.404 0.081 0.743
Np4 0.596 0.919 0.257
Np5 0.759 0.759 0.746
Np6 0.919 0.596 0.257
P1 0.000 0.000 0.500
Se1 0.171 0.829 0.000
Se2 0.334 0.666 0.500
Se3 0.500 0.500 0.000
Se4 0.666 0.334 0.500
Se5 0.829 0.171 0.000

Values from the calculation:
The value obtained for the density of states at the Fermi level is 47.8 states/eV per cell. As for the space group: C2/m (12). For the raw formation energy, the calculation gives -12.5 eV/f.u.